[1]
# NdMg3Se4O12

A relaxed NdMg3Se4O12 crystal (GGA-PBE, the Alexandria database).

uncorrected formation energy	-1394	meV per atom
DFT total energy	-5.543	eV per atom
space-group type	R32, No. 155
calculated density	4.508	g cm⁻³
DOS at the Fermi energy	4.168	states/eV/f.u.

a = 6.7569 Å, b = 6.7569 Å, c = 6.7569 Å
α = 105.44°, β = 105.44°, γ = 105.44°
Closest atoms and distances in Å follow each position.
Positions (direct):
O1 0.5000 0.0551 0.9449  1 Se 1.72
O2 0.3325 0.0044 0.2501  1 Se 1.85
O3 0.9449 0.5000 0.0551  1 Se 1.72
Mg1 0.4222 0.0000 0.5778  4 O 2.01-2.14
O4 0.0044 0.2501 0.3325  1 Se 1.85
Mg2 0.0000 0.5778 0.4222  4 O 2.01-2.14
O5 0.0551 0.9449 0.5000  1 Se 1.72
O6 0.6723 0.5000 0.3277  1 Se 1.85, 2 Mg 2.01
O7 0.7499 0.9956 0.6675  1 Se 1.85
O8 0.2501 0.3325 0.0044  1 Se 1.85
O9 0.9956 0.6675 0.7499  1 Se 1.85
O10 0.6675 0.7499 0.9956  1 Se 1.85
Mg3 0.5778 0.4222 0.0000  4 O 2.01-2.14
O11 0.3277 0.6723 0.5000  1 Se 1.85, 2 Mg 2.01
Se1 0.5000 0.5000 0.5000  3 O 1.85
Nd1 0.0000 0.0000 0.0000  6 O 2.41
Se2 0.1052 0.5000 0.8948  3 O 1.72-1.85
Se3 0.8948 0.1052 0.5000  3 O 1.72-1.85
O12 0.5000 0.3277 0.6723  1 Se 1.85, 2 Mg 2.01
Se4 0.5000 0.8948 0.1052  3 O 1.72-1.85

[2]
# NdMgSe2O8

A relaxed NdMgSe2O8 crystal (GGA-PBE, the Alexandria database).

uncorrected formation energy	-1496	meV per atom
DFT total energy	-5.913	eV per atom
space-group type	P-3m1, No. 164
calculated density	4.125	g cm⁻³
DOS at the Fermi energy	1.534	states/eV/f.u.

a = 5.5453 Å, b = 5.5453 Å, c = 6.8695 Å
α = 90.00°, β = 90.00°, γ = 120.00°
Closest atoms and distances in Å follow each position.
Positions (direct):
O1 0.3123 0.1561 0.2109  1 Se 1.75
O2 0.6877 0.8439 0.7891  1 Se 1.75
O3 0.8439 0.6877 0.2109  1 Se 1.75
Mg1 0.0000 0.0000 0.0000  6 O 2.09
O4 0.1561 0.8439 0.7891  1 Se 1.75
Se1 0.6667 0.3333 0.2683  4 O 1.68-1.75
Nd1 0.0000 0.0000 0.5000  6 O 2.49
Se2 0.3333 0.6667 0.7317  4 O 1.68-1.75
O5 0.1561 0.3123 0.7891  1 Se 1.75
O6 0.3333 0.6667 0.4869  1 Se 1.68
O7 0.8439 0.1561 0.2109  1 Se 1.75
O8 0.6667 0.3333 0.5131  1 Se 1.68